a) {"formula": "LiSN", "functional": "PBE", "state": "relaxed", "spacegroup": "No. 14", "vol_a3_per_cell": 244.0, "crystal_system": "monoclinic", "lattice": [[4.826, 0.000, 0.000], [0.000, 6.537, 0.708], [0.000, 0.331, 7.771]], "species": ["S", "S", "S", "S", "N", "N", "N", "N", "Li", "Li", "Li", "Li"], "fractional_positions": [[0.044, 0.547, 0.243], [0.456, 0.547, 0.743], [0.956, 0.453, 0.757], [0.544, 0.453, 0.257], [0.069, 0.066, 0.507], [0.431, 0.066, 0.007], [0.931, 0.934, 0.493], [0.569, 0.934, 0.993], [0.247, 0.373, 0.515], [0.747, 0.627, 0.985], [0.753, 0.627, 0.485], [0.253, 0.373, 0.015]]}



b) {"formula": "LiSN", "functional": "PBE", "state": "relaxed", "spacegroup": "No. 2", "vol_a3_per_cell": 85.8, "crystal_system": "triclinic", "lattice": [[2.600, 0.001, -0.629], [0.650, 9.618, 2.715], [-0.427, 1.342, 3.936]], "species": ["Li", "Li", "S", "S", "N", "N"], "fractional_positions": [[0.712, 0.884, 0.422], [0.288, 0.116, 0.578], [0.111, 0.722, 0.223], [0.889, 0.278, 0.777], [0.540, 0.144, 0.081], [0.460, 0.856, 0.919]]}



Quick look at relative energies in kJ/mol of atoms: a) 0.0; b) 53.4.